Entry 1:
An optimized crystal structure of Fe2Mo. Source: Alexandria via LeMat-Bulk, functional PBE-GGA.

Results
Size of the total moment, μB/f.u.: 4.15
Energy of formation, eV per formula unit: 0.2
DOS at the Fermi energy, states/eV/cell: 2.4
SG: P-3m1 (164)

```
Fe2Mo
1.0
4.184 0.000 0.000
-2.092 3.623 0.000
0.000 0.000 2.564
Fe Mo
2 1
Cartesian
0.000 2.416 0.386
2.092 1.208 2.178
0.000 0.000 1.282
```



Entry 2:
An optimized crystal structure of SrLi9Cd2. Source: Alexandria via LeMat-Bulk, functional PBE-GGA.

Results
Size of the total moment, μB/f.u.: 0.33
Energy of formation, eV per formula unit: -0.4
DOS at the Fermi energy, states/eV/cell: 8.4
SG: P6/mmm (191)

```
SrLi9Cd2
1.0
9.641 0.000 0.000
-4.820 8.349 0.000
0.000 0.000 3.501
Sr Li Cd
1 9 2
Cartesian
0.000 0.000 0.000
-2.410 4.175 0.000
0.000 3.254 1.751
-2.002 6.722 1.751
2.818 1.627 1.751
4.820 0.000 0.000
2.410 4.175 0.000
2.002 6.722 1.751
6.822 1.627 1.751
4.820 5.095 1.751
0.000 5.566 0.000
4.820 2.783 0.000
```



Entry 3:
An optimized crystal structure of ZrPW3. Source: Alexandria via LeMat-Bulk, functional PBE-GGA.

Results
Size of the total moment, μB/f.u.: 0.00
Energy of formation, eV per formula unit: 2.5
DOS at the Fermi energy, states/eV/cell: 5.1
SG: Pm-3m (221)

```
ZrPW3
1.0
4.504 0.000 0.000
0.000 4.504 0.000
0.000 0.000 4.504
Zr P W
1 1 3
Cartesian
0.000 0.000 0.000
2.252 2.252 2.252
0.000 2.252 2.252
2.252 0.000 2.252
2.252 2.252 0.000
```



Entry 4:
An optimized crystal structure of Ce2UNbN4. Source: Alexandria via LeMat-Bulk, functional PBE-GGA.

Results
Formation energy without anion corrections, eV/atom: -1.408
Size of the total moment, μB/f.u.: 0.06
DOS at the Fermi energy, states/eV/cell: 7.1
SG: P2/m (10)

```
Ce2UNbN4
1.0
5.776 0.000 0.000
0.000 3.411 0.000
-1.923 0.000 5.671
Ce U Nb N
2 1 1 4
Cartesian
0.000 0.000 0.000
2.888 1.705 0.000
-0.961 1.705 2.835
1.927 0.000 2.835
0.038 0.000 4.067
0.980 1.705 1.618
2.873 1.705 4.053
3.816 0.000 1.604
```



Entry 5:
An optimized crystal structure of MnCuSb2Se5. Source: Alexandria via LeMat-Bulk, functional PBE-GGA.

Results
Formation energy without anion corrections, eV/atom: -0.257
Size of the total moment, μB/f.u.: 3.99
DOS at the Fermi energy, states/eV/cell: 5.4
SG: Cmc2_1 (36)

```
MnCuSb2Se5
1.0
1.972 -9.450 0.000
1.972 9.450 0.000
0.000 0.000 12.246
Mn Cu Sb Se
2 2 4 10
Cartesian
1.972 5.791 6.123
1.972 -5.791 0.000
1.972 1.640 11.469
1.972 -1.640 5.346
1.972 7.890 9.215
1.972 6.388 2.098
1.972 -6.388 8.220
1.972 -7.890 3.092
1.972 8.375 6.590
1.972 3.852 10.503
1.972 3.755 1.798
1.972 3.209 6.309
1.972 0.298 9.426
1.972 -0.298 3.303
1.972 -3.209 0.187
1.972 -3.755 7.921
1.972 -3.852 4.380
1.972 -8.375 0.467
```



Entry 6:
An optimized crystal structure of Ho4SbPt. Source: Alexandria via LeMat-Bulk, functional PBE-GGA.

Results
Formation energy without anion corrections, eV/atom: -0.668
Size of the total moment, μB/f.u.: 0.00
DOS at the Fermi energy, states/eV/cell: 8.6
SG: C2/c (15)

```
Ho4SbPt
1.0
7.734 -3.366 0.000
7.734 3.366 0.000
-2.169 0.000 6.820
Ho Sb Pt
8 2 2
Cartesian
0.370 0.549 3.188
-0.714 -0.549 6.598
3.377 0.471 5.823
4.461 -0.471 2.413
8.837 0.471 4.407
9.922 -0.471 0.997
14.013 0.549 0.222
12.928 -0.549 3.631
7.192 1.145 1.705
6.107 -1.145 5.115
2.782 1.683 3.410
3.867 -1.683 0.000
```



Entry 7:
An optimized crystal structure of ScTi3Hg. Source: Alexandria via LeMat-Bulk, functional PBE-GGA.

Results
Size of the total moment, μB/f.u.: 2.54
Energy of formation, eV per formula unit: 5.6
DOS at the Fermi energy, states/eV/cell: 7.6
SG: Pm-3m (221)

```
ScTi3Hg
1.0
4.713 0.000 0.000
0.000 4.713 0.000
0.000 0.000 4.713
Sc Ti Hg
1 3 1
Cartesian
0.000 0.000 0.000
0.000 0.000 2.356
0.000 2.356 0.000
2.356 0.000 0.000
2.356 2.356 2.356
```



Entry 8:
An optimized crystal structure of AlRuRh2N. Source: Alexandria via LeMat-Bulk, functional PBE-GGA.

Results
Formation energy without anion corrections, eV/atom: -0.121
Size of the total moment, μB/f.u.: 0.00
DOS at the Fermi energy, states/eV/cell: 3.0
SG: P4/mmm (123)

```
AlRuRh2N
1.0
4.101 0.000 0.000
0.000 4.101 0.000
0.000 0.000 3.922
Al Ru Rh N
1 1 2 1
Cartesian
0.000 0.000 0.000
2.051 2.051 0.000
0.000 2.051 1.961
2.051 0.000 1.961
2.051 2.051 1.961
```



Entry 9:
An optimized crystal structure of PbSeI. Source: Alexandria via LeMat-Bulk, functional PBE-GGA.

Results
Formation energy without anion corrections, eV/atom: -0.450
Size of the total moment, μB/f.u.: 0.00
DOS at the Fermi energy, states/eV/cell: 0.0
SG: P-1 (2)

```
PbSeI
1.0
4.589 0.000 0.000
1.489 5.746 0.000
1.069 2.759 8.540
Pb Se I
2 2 2
Cartesian
0.990 1.051 2.148
6.158 7.454 6.392
3.780 6.183 4.827
3.367 2.323 3.713
2.176 4.067 7.182
4.971 4.438 1.358
```



Entry 10:
An optimized crystal structure of DyErHf. Source: Alexandria via LeMat-Bulk, functional PBE-GGA.

Results
Size of the total moment, μB/f.u.: 0.00
Energy of formation, eV per formula unit: 0.3
DOS at the Fermi energy, states/eV/cell: 4.1
SG: I4mm (107)

```
DyErHf
1.0
-1.677 1.677 7.356
1.677 -1.677 7.356
1.677 1.677 -7.356
Dy Er Hf
1 1 1
Cartesian
0.000 0.000 0.000
0.000 0.000 4.566
0.000 0.000 9.655
```



Entry 11:
An optimized crystal structure of LiTePt2. Source: Alexandria via LeMat-Bulk, functional PBE-GGA.

Results
Formation energy without anion corrections, eV/atom: -0.285
Size of the total moment, μB/f.u.: 0.00
DOS at the Fermi energy, states/eV/cell: 1.9
SG: P4mm (99)

```
LiTePt2
1.0
3.627 0.000 0.000
0.000 3.627 0.000
0.000 0.000 5.281
Li Te Pt
1 1 2
Cartesian
0.000 0.000 0.000
1.814 1.814 3.635
0.000 0.000 2.565
1.814 1.814 0.992
```



Entry 12:
An optimized crystal structure of Fe2Co2Rh3. Source: Alexandria via LeMat-Bulk, functional PBE-GGA.

Results
Size of the total moment, μB/f.u.: 10.40
Energy of formation, eV per formula unit: 0.3
DOS at the Fermi energy, states/eV/cell: 10.1
SG: Cmmm (65)

```
Fe2Co2Rh3
1.0
1.957 -8.747 0.000
1.957 8.747 0.000
0.000 0.000 2.630
Fe Co Rh
2 2 3
Cartesian
1.957 7.448 0.000
1.957 -7.448 0.000
1.957 4.997 0.000
1.957 -4.997 0.000
1.957 2.682 1.315
1.957 0.000 1.315
1.957 -2.682 1.315
```



Entry 13:
An optimized crystal structure of Sr3HfN. Source: Alexandria via LeMat-Bulk, functional PBE-GGA.

Results
Formation energy without anion corrections, eV/atom: 1.824
Size of the total moment, μB/f.u.: 6.74
DOS at the Fermi energy, states/eV/cell: 6.6
SG: Pm-3m (221)

```
Sr3HfN
1.0
6.480 0.000 0.000
0.000 6.480 0.000
0.000 0.000 6.480
Sr Hf N
3 1 1
Cartesian
0.000 0.000 3.240
0.000 3.240 0.000
3.240 0.000 0.000
0.000 0.000 0.000
3.240 3.240 3.240
```



Entry 14:
An optimized crystal structure of SrTcO3. Source: Alexandria via LeMat-Bulk, functional PBE-GGA.

Results
Formation energy without anion corrections, eV/atom: -1.843
Size of the total moment, μB/f.u.: 0.43
DOS at the Fermi energy, states/eV/cell: 12.7
SG: Cmce (64)

```
SrTcO3
1.0
3.936 -6.106 0.000
3.936 6.106 0.000
0.000 0.000 5.769
Sr Tc O
4 4 12
Cartesian
3.936 4.787 4.326
3.936 1.319 1.442
3.936 -1.319 4.327
3.936 -4.787 1.443
1.968 1.451 4.327
1.968 -1.451 1.442
5.903 1.451 4.327
5.903 -1.451 1.442
1.968 2.816 1.442
3.936 4.688 1.448
1.963 0.000 0.000
1.972 0.000 2.884
3.936 1.418 4.333
1.968 -2.816 4.327
5.903 2.816 1.442
3.936 -1.418 1.436
5.899 0.000 2.884
5.908 0.000 0.000
3.936 -4.688 4.321
5.903 -2.816 4.327
```



Entry 15:
An optimized crystal structure of SrSc2Be. Source: Alexandria via LeMat-Bulk, functional PBE-GGA.

Results
Size of the total moment, μB/f.u.: 0.00
Energy of formation, eV per formula unit: 3.3
DOS at the Fermi energy, states/eV/cell: 10.5
SG: I4_1/amd (141)

```
SrSc2Be
1.0
-3.700 3.700 5.307
3.700 -3.700 5.307
3.700 3.700 -5.307
Sr Sc Be
2 4 2
Cartesian
3.700 1.850 1.327
0.000 1.850 3.980
0.000 0.000 0.000
1.850 1.850 -2.653
1.850 -1.850 2.653
0.000 3.700 0.000
3.700 -1.850 3.980
0.000 5.550 1.327
```



Entry 16:
An optimized crystal structure of Er2AlAg3. Source: Alexandria via LeMat-Bulk, functional PBE-GGA.

Results
Size of the total moment, μB/f.u.: 0.00
Energy of formation, eV per formula unit: -1.9
DOS at the Fermi energy, states/eV/cell: 8.0
SG: Fmmm (69)

```
Er2AlAg3
1.0
0.000 4.683 8.174
3.369 0.000 8.174
3.369 4.683 0.000
Er Al Ag
4 2 6
Cartesian
5.078 4.683 8.174
1.685 2.341 4.087
5.054 7.024 12.261
1.660 4.683 8.174
3.369 4.683 5.442
3.369 4.683 10.906
3.369 4.683 2.797
3.369 2.417 6.781
3.369 2.417 9.567
3.369 6.949 6.781
3.369 6.949 9.567
3.369 4.683 13.552
```



Entry 17:
An optimized crystal structure of Pr6TlSi2I3. Source: Alexandria via LeMat-Bulk, functional PBE-GGA.

Results
Formation energy without anion corrections, eV/atom: -0.838
Size of the total moment, μB/f.u.: 0.00
DOS at the Fermi energy, states/eV/cell: 6.5
SG: C2/m (12)

```
Pr6TlSi2I3
1.0
10.045 -2.180 0.000
10.045 2.180 0.000
-2.590 0.000 9.054
Pr Tl Si I
6 1 2 3
Cartesian
-0.317 0.000 2.247
5.313 0.000 3.985
4.493 0.000 7.891
13.006 0.000 1.162
12.187 0.000 5.069
17.817 0.000 6.806
10.045 0.000 0.000
2.499 0.000 3.086
15.001 0.000 5.968
1.154 0.000 7.559
8.750 0.000 4.527
16.346 0.000 1.495
```



Entry 18:
An optimized crystal structure of FeAsSeBr2. Source: Alexandria via LeMat-Bulk, functional PBE-GGA.

Results
Formation energy without anion corrections, eV/atom: 0.490
Size of the total moment, μB/f.u.: 0.00
DOS at the Fermi energy, states/eV/cell: 6.8
SG: P4/mmm (123)

```
FeAsSeBr2
1.0
4.776 0.000 0.000
0.000 4.776 0.000
0.000 0.000 4.731
Fe As Se Br
1 1 1 2
Cartesian
0.000 0.000 0.000
0.000 0.000 2.365
2.388 2.388 2.365
0.000 2.388 0.000
2.388 0.000 0.000
```